1.
A relaxed TbPrHo2Er4 crystal. Source: Alexandria, functional PBE.

abc: 12.273 7.084 12.250
angles: 90.00 109.51 90.00
Space group C2/m (No. 12)
One atom of each set of equivalent atoms:
Tb (0.250, 0.250, 0.000) [4 per cell]
Pr (0.000, 0.000, 0.000) [2 per cell]
Pr (0.000, 0.000, 0.500) [2 per cell]
Ho (0.000, 0.500, 0.000) [2 per cell]
Ho (0.000, 0.500, 0.500) [2 per cell]
Ho (0.250, 0.250, 0.500) [4 per cell]
Er (0.000, 0.251, 0.250) [8 per cell]
Er (0.249, 0.500, 0.749) [4 per cell]
Er (0.250, 0.000, 0.750) [4 per cell]

Results
**Calculated total energy**: -4.583 eV/atom
**DFT formation energy**: 2 kJ per mole of atoms
**Magnetization**: 0.00 μB per atom
**V**: 1004 Å³/cell

2.
A relaxed Tb3Pr6Ho2Er crystal. Source: Alexandria, functional PBE.

abc: 6.306 10.922 11.885
angles: 90.00 100.16 90.00
Space group C2/m (No. 12)
One atom of each set of equivalent atoms:
Tb (0.000, 0.000, 0.000) [2 per cell]
Tb (0.000, 0.333, 0.000) [4 per cell]
Pr (0.250, 0.000, 0.749) [4 per cell]
Pr (0.250, 0.167, 0.251) [8 per cell]
Ho (0.000, 0.167, 0.500) [4 per cell]
Er (0.000, 0.500, 0.500) [2 per cell]

Results
**Calculated total energy**: -4.679 eV/atom
**DFT formation energy**: 1 kJ per mole of atoms
**Magnetization**: 0.00 μB per atom
**V**: 806 Å³/cell

3.
A relaxed Tb2Pr2Ho2Er crystal. Source: Alexandria, functional PBE.

abc: 11.766 3.524 11.866
angles: 90.00 109.06 90.00
Space group C2/m (No. 12)
One atom of each set of equivalent atoms:
Tb (0.227, 0.000, 0.365) [4 per cell]
Pr (0.172, 0.500, 0.086) [4 per cell]
Ho (0.050, 0.500, 0.768) [4 per cell]
Er (0.000, 0.000, 0.500) [2 per cell]

Results
**Calculated total energy**: -4.563 eV/atom
**DFT formation energy**: 8 kJ per mole of atoms
**Magnetization**: 0.00 μB per atom
**V**: 465 Å³/cell

4.
A relaxed Tb6Pr3Ho2Er crystal. Source: Alexandria, functional PBE.

abc: 6.221 10.774 11.886
angles: 90.00 100.03 90.00
Space group C2/m (No. 12)
One atom of each set of equivalent atoms:
Tb (0.248, 0.167, 0.245) [8 per cell]
Tb (0.249, 0.500, 0.245) [4 per cell]
Pr (0.000, 0.167, 0.500) [4 per cell]
Pr (0.000, 0.500, 0.500) [2 per cell]
Ho (0.000, 0.333, 0.000) [4 per cell]
Er (0.000, 0.000, 0.000) [2 per cell]

Results
**Calculated total energy**: -4.634 eV/atom
**DFT formation energy**: 2 kJ per mole of atoms
**Magnetization**: 0.00 μB per atom
**V**: 784 Å³/cell

5.
A relaxed TbPr2Ho6Er crystal. Source: Alexandria, functional PBE.

abc: 9.008 15.011 9.707
angles: 90.00 99.20 90.00
Space group C2/c (No. 15)
One atom of each set of equivalent atoms:
Tb (0.000, 0.017, 0.250) [4 per cell]
Pr (0.245, 0.051, 0.542) [8 per cell]
Ho (0.067, 0.191, 0.943) [8 per cell]
Ho (0.101, 0.394, 0.119) [8 per cell]
Ho (0.201, 0.223, 0.312) [8 per cell]
Er (0.000, 0.406, 0.750) [4 per cell]

Results
**Calculated total energy**: -4.505 eV/atom
**DFT formation energy**: 11 kJ per mole of atoms
**Magnetization**: 0.00 μB per atom
**V**: 1296 Å³/cell

6.
A relaxed Tb2Pr3Ho6Er crystal. Source: Alexandria, functional PBE.

abc: 6.205 10.743 11.804
angles: 90.00 100.06 90.00
Space group C2/m (No. 12)
One atom of each set of equivalent atoms:
Tb (0.000, 0.167, 0.000) [4 per cell]
Pr (0.000, 0.000, 0.500) [2 per cell]
Pr (0.000, 0.333, 0.500) [4 per cell]
Ho (0.248, 0.333, 0.246) [8 per cell]
Ho (0.249, 0.000, 0.246) [4 per cell]
Er (0.000, 0.500, 0.000) [2 per cell]

Results
**Calculated total energy**: -4.616 eV/atom
**DFT formation energy**: 2 kJ per mole of atoms
**Magnetization**: 0.00 μB per atom
**V**: 775 Å³/cell

7.
A relaxed Tb3PrHoEr crystal. Source: Alexandria, functional PBE.

abc: 22.167 5.440 6.782
angles: 90.00 97.94 90.00
Space group C2/m (No. 12)
One atom of each set of equivalent atoms:
Tb (0.025, 0.000, 0.275) [4 per cell]
Tb (0.170, 0.500, 0.279) [4 per cell]
Tb (0.226, 0.500, 0.812) [4 per cell]
Pr (0.131, 0.000, 0.976) [4 per cell]
Ho (0.072, 0.500, 0.661) [4 per cell]
Er (0.167, 0.000, 0.531) [4 per cell]

Results
**Calculated total energy**: -4.437 eV/atom
**DFT formation energy**: 19 kJ per mole of atoms
**Magnetization**: 0.00 μB per atom
**V**: 810 Å³/cell

8.
A relaxed TbPr6Ho3Er2 crystal. Source: Alexandria, functional PBE.

abc: 6.294 10.900 11.850
angles: 90.00 100.17 90.00
Space group C2/m (No. 12)
One atom of each set of equivalent atoms:
Tb (0.000, 0.000, 0.000) [2 per cell]
Pr (0.250, 0.000, 0.750) [4 per cell]
Pr (0.250, 0.167, 0.250) [8 per cell]
Ho (0.000, 0.167, 0.500) [4 per cell]
Ho (0.000, 0.500, 0.500) [2 per cell]
Er (0.000, 0.333, 0.000) [4 per cell]

Results
**Calculated total energy**: -4.668 eV/atom
**DFT formation energy**: 1 kJ per mole of atoms
**Magnetization**: 0.00 μB per atom
**V**: 800 Å³/cell

9.
A relaxed Tb6Pr2HoEr crystal. Source: Alexandria, functional PBE.

abc: 9.047 15.109 9.749
angles: 90.00 99.06 90.00
Space group C2/c (No. 15)
One atom of each set of equivalent atoms:
Tb (0.065, 0.190, 0.443) [8 per cell]
Tb (0.103, 0.395, 0.620) [8 per cell]
Tb (0.201, 0.222, 0.811) [8 per cell]
Pr (0.245, 0.052, 0.042) [8 per cell]
Ho (0.000, 0.017, 0.750) [4 per cell]
Er (0.000, 0.407, 0.250) [4 per cell]

Results
**Calculated total energy**: -4.532 eV/atom
**DFT formation energy**: 11 kJ per mole of atoms
**Magnetization**: 0.00 μB per atom
**V**: 1316 Å³/cell

10.
A relaxed Tb2PrHo6Er crystal. Source: Alexandria, functional PBE.

abc: 9.054 15.013 9.517
angles: 90.00 97.08 90.00
Space group C2/c (No. 15)
One atom of each set of equivalent atoms:
Tb (0.248, 0.053, 0.454) [8 per cell]
Pr (0.000, 0.475, 0.250) [4 per cell]
Ho (0.064, 0.312, 0.943) [8 per cell]
Ho (0.100, 0.109, 0.118) [8 per cell]
Ho (0.208, 0.274, 0.316) [8 per cell]
Er (0.000, 0.090, 0.750) [4 per cell]

Results
**Calculated total energy**: -4.487 eV/atom
**DFT formation energy**: 12 kJ per mole of atoms
**Magnetization**: 0.00 μB per atom
**V**: 1284 Å³/cell

11.
A relaxed TbPrHoEr3 crystal. Source: Alexandria, functional PBE.

abc: 5.636 6.914 9.753
angles: 90.00 90.00 90.00
Space group P-1 (No. 2)
One atom of each set of equivalent atoms:
Tb (0.250, 0.000, 0.249) [2 per cell]
Pr (0.250, 0.500, 0.249) [2 per cell]
Ho (0.257, 0.246, 0.583) [2 per cell]
Er (0.243, 0.246, 0.917) [2 per cell]
Er (0.243, 0.753, 0.583) [2 per cell]
Er (0.257, 0.754, 0.917) [2 per cell]

Results
**Calculated total energy**: -4.540 eV/atom
**DFT formation energy**: 7 kJ per mole of atoms
**Magnetization**: 0.00 μB per atom
**V**: 380 Å³/cell

12.
A relaxed Tb6PrHo2Er crystal. Source: Alexandria, functional PBE.

abc: 9.124 15.050 9.529
angles: 90.00 96.71 90.00
Space group C2/c (No. 15)
One atom of each set of equivalent atoms:
Tb (0.063, 0.185, 0.444) [8 per cell]
Tb (0.099, 0.391, 0.618) [8 per cell]
Tb (0.211, 0.226, 0.817) [8 per cell]
Pr (0.000, 0.027, 0.750) [4 per cell]
Ho (0.247, 0.448, 0.953) [8 per cell]
Er (0.000, 0.410, 0.250) [4 per cell]

Results
**Calculated total energy**: -4.509 eV/atom
**DFT formation energy**: 11 kJ per mole of atoms
**Magnetization**: 0.00 μB per atom
**V**: 1300 Å³/cell